Record 1
Material: K4NiIr
Method: DFT, PBE
State: optimized geometry

abc: 6.3422 6.3422 6.3422
angles: 60.00 60.00 60.00
Fractional positions:
K 0.1254 0.1254 0.1254
K 0.1254 0.1254 0.6237
K 0.1254 0.6237 0.1254
K 0.6237 0.1254 0.1254
Ni 0.7500 0.7500 0.7500
Ir 0.5000 0.5000 0.5000

## Properties
Symmetry ... No. 216



Record 2
Material: EuPuNiIr
Method: DFT, PBE
State: optimized geometry

abc: 4.8669 4.8669 4.8669
angles: 60.00 60.00 60.00
Fractional positions:
Eu 0.0000 0.0000 0.0000
Pu 0.5000 0.5000 0.5000
Ni 0.2500 0.2500 0.2500
Ir 0.7500 0.7500 0.7500

## Properties
Symmetry ... No. 216



Record 3
Material: Th6HgPt
Method: DFT, PBE
State: optimized geometry

abc: 6.5802 6.5802 6.5802
angles: 103.19 103.19 103.19
Fractional positions:
Th 0.2000 0.2000 0.6182
Th 0.2000 0.6182 0.2000
Th 0.3818 0.8000 0.8000
Th 0.6182 0.2000 0.2000
Th 0.8000 0.3818 0.8000
Th 0.8000 0.8000 0.3818
Hg 0.0000 0.0000 0.0000
Pt 0.5000 0.5000 0.5000

## Properties
Symmetry ... No. 166



Record 4
Material: SmZn5Rh2
Method: DFT, PBE
State: optimized geometry

abc: 6.3671 6.3671 6.3671
angles: 144.21 106.63 84.41
Fractional positions:
Sm 0.0000 0.0000 0.0000
Zn 0.1637 0.3473 0.8164
Zn 0.4691 0.6527 0.8164
Zn 0.5000 0.0000 0.5000
Zn 0.5309 0.3473 0.1836
Zn 0.8363 0.6527 0.1836
Rh 0.2355 0.7355 0.5000
Rh 0.7645 0.2645 0.5000

## Properties
Symmetry ... No. 71



Record 5
Material: ThTc6
Method: DFT, PBE
State: optimized geometry

abc: 8.6286 5.1573 10.8285
angles: 90.00 90.00 90.00
Fractional positions:
Th 0.2343 0.2500 0.0541
Th 0.2657 0.7500 0.5541
Th 0.7343 0.2500 0.4459
Th 0.7657 0.7500 0.9459
Tc 0.0661 0.0090 0.3047
Tc 0.0661 0.4910 0.3047
Tc 0.0748 0.7500 0.0742
Tc 0.0865 0.2500 0.5261
Tc 0.1441 0.7500 0.8472
Tc 0.1902 0.2500 0.7585
Tc 0.3098 0.7500 0.2585
Tc 0.3559 0.2500 0.3472
Tc 0.4135 0.7500 0.0261
Tc 0.4252 0.2500 0.5742
Tc 0.4339 0.5090 0.8047
Tc 0.4339 0.9910 0.8047
Tc 0.5661 0.0090 0.1953
Tc 0.5661 0.4910 0.1953
Tc 0.5748 0.7500 0.4258
Tc 0.5865 0.2500 0.9739
Tc 0.6441 0.7500 0.6528
Tc 0.6902 0.2500 0.7415
Tc 0.8098 0.7500 0.2415
Tc 0.8559 0.2500 0.1528
Tc 0.9135 0.7500 0.4739
Tc 0.9252 0.2500 0.9258
Tc 0.9339 0.5090 0.6953
Tc 0.9339 0.9910 0.6953

## Properties
E above lowest polymorph ... 0 meV per atom
Symmetry ... No. 62



Record 6
Material: LiDyY
Method: DFT, PBE
State: optimized geometry

abc: 6.8086 6.8086 6.8086
angles: 148.99 148.99 44.42
Fractional positions:
Li 0.0000 0.0000 0.0000
Dy 0.6533 0.6533 0.0000
Y 0.3456 0.3456 0.0000

## Properties
E above lowest polymorph ... 2 meV per atom
Symmetry ... No. 107



Record 7
Material: VCr3Fe
Method: DFT, PBE
State: optimized geometry

abc: 4.1952 4.1952 4.1952
angles: 90.00 90.00 90.00
Fractional positions:
V 0.0000 0.0000 0.0000
Cr 0.0000 0.0000 0.5000
Cr 0.0000 0.5000 0.0000
Cr 0.5000 0.0000 0.0000
Fe 0.5000 0.5000 0.5000

## Properties
E above lowest polymorph ... 275 meV per atom
Symmetry ... No. 221



Record 8
Material: La5PmY2Tm
Method: DFT, PBE
State: optimized geometry

abc: 9.7566 9.7566 9.7566
angles: 120.91 120.91 88.44
Fractional positions:
La 0.0000 0.0000 0.0000
La 0.0633 0.5633 0.9036
La 0.1597 0.0633 0.5000
La 0.3403 0.8403 0.9036
La 0.4367 0.3403 0.5000
La 0.5000 0.5000 0.0000
La 0.5633 0.6597 0.5000
La 0.6597 0.1597 0.0964
La 0.8403 0.9367 0.5000
La 0.9367 0.4367 0.0964
Pm 0.2500 0.2500 0.0000
Pm 0.7500 0.7500 0.0000
Y 0.1080 0.3920 0.5000
Y 0.3920 0.8920 0.2841
Y 0.6080 0.1080 0.7159
Y 0.8920 0.6080 0.5000
Tm 0.2500 0.7500 0.5000
Tm 0.7500 0.2500 0.5000

## Properties
Symmetry ... No. 140



So what do the calculations give for calculated formation energy? Going down the list: 1258, -196, -13, -373, 11, 86, 1382, 300 meV per atom.